HoMn2Ga8: optimized geometry, GGA-PBE.

Output
The value obtained for the density of states at the Fermi level is 5.53 states/eV per cell. The formation energy is -125 meV/atom. Its symmetry is C2/m (12). The total magnetization is 2.32 μB/cell.

Cell lengths 6.6245, 6.6245, 4.6900 Å; angles 98.15, 98.15, 99.46 degrees
Closest atoms and distances in Å follow each position.
Sites, in units of the cell vectors:
Ho (0.0000, 0.0000, 0.0000)  12 Ga 2.99-3.33
Mn (0.2892, 0.7108, 0.5000)  6 Ga 2.35-2.57
Mn (0.7108, 0.2892, 0.5000)  6 Ga 2.35-2.57
Ga (0.0893, 0.3515, 0.6086)  2 Mn 2.44-2.68, 3 Ga 2.65-2.70
Ga (0.2957, 0.7043, 0.0000)  2 Mn 2.35
Ga (0.3515, 0.0893, 0.6086)  2 Mn 2.44-2.68, 3 Ga 2.65-2.70
Ga (0.3709, 0.3709, 0.2440)  2 Mn 2.57, 4 Ga 2.70-2.71
Ga (0.6291, 0.6291, 0.7560)  2 Mn 2.57, 4 Ga 2.70-2.71
Ga (0.6485, 0.9107, 0.3914)  2 Mn 2.44-2.68, 3 Ga 2.65-2.70
Ga (0.7043, 0.2957, 0.0000)  2 Mn 2.35
Ga (0.9107, 0.6485, 0.3914)  2 Mn 2.44-2.68, 3 Ga 2.65-2.70